AcLaInAu: optimized geometry, PBE-GGA.

Results
Spin magnetization ... 0.00 μB/f.u.
DFT formation energy ... -0.62 eV/atom
N(E_F) ... 4.02 states/eV/cell
SG ... No. 99

```
4
Lattice="-3.759 -0.905 0.167 0.816 -2.954 2.364 -0.897 4.913 6.448" Properties=species:S:1:pos:R:3 pbc="T T T"
Au -2.004 0.984 5.089
In -1.579 -1.341 2.038
La -0.338 1.850 2.428
Ac -0.752 4.120 5.407
```